Crystalline HfZrHgC at its relaxed geometry, computed with PBE.

a = 3.3330 Å, b = 3.3330 Å, c = 14.8708 Å
α = 90.00°, β = 90.00°, γ = 120.00°
Atoms (fractional coordinates):
Hf  0.3333  0.6667  0.4170
Hf  0.6667  0.3333  0.5830
Zr  0.3333  0.6667  0.0850
Zr  0.6667  0.3333  0.9150
Hg  0.3333  0.6667  0.7476
Hg  0.6667  0.3333  0.2524
C  0.0000  0.0000  0.0000
C  0.0000  0.0000  0.5000

Results
ΔE to the lowest computed polymorph = 2 meV/atom
Symmetry = No. 164

Crystalline Hf3ZrHg2C2 at its relaxed geometry, computed with PBE.

a = 3.3217 Å, b = 3.3217 Å, c = 14.8143 Å
α = 90.00°, β = 90.00°, γ = 120.00°
Atoms (fractional coordinates):
Hf  0.0000  0.0000  0.0000
Hf  0.0000  0.0000  0.3318
Hf  0.6667  0.3333  0.8331
Zr  0.6667  0.3333  0.5007
Hg  0.0000  0.0000  0.6683
Hg  0.6667  0.3333  0.1659
C  0.3333  0.6667  0.4131
C  0.3333  0.6667  0.9164

Results
Total energy = -62.360 eV for the cell shown
Symmetry = No. 156

Crystalline HfZr3Hg2C2 at its relaxed geometry, computed with PBE.

a = 3.3439 Å, b = 3.3439 Å, c = 14.9374 Å
α = 90.00°, β = 90.00°, γ = 120.00°
Atoms (fractional coordinates):
Hf  0.0000  0.0000  0.0000
Zr  0.0000  0.0000  0.6693
Zr  0.6667  0.3333  0.1668
Zr  0.6667  0.3333  0.5000
Hg  0.0000  0.0000  0.3336
Hg  0.6667  0.3333  0.8365
C  0.3333  0.6667  0.0806
C  0.3333  0.6667  0.5845

Results
Total energy = -59.409 eV for the cell shown
Symmetry = No. 156

Please write out number 3 again, unchanged.
Crystalline HfZr3Hg2C2 at its relaxed geometry, computed with PBE.

a = 3.3439 Å, b = 3.3439 Å, c = 14.9374 Å
α = 90.00°, β = 90.00°, γ = 120.00°
Atoms (fractional coordinates):
Hf  0.0000  0.0000  0.0000
Zr  0.0000  0.0000  0.6693
Zr  0.6667  0.3333  0.1668
Zr  0.6667  0.3333  0.5000
Hg  0.0000  0.0000  0.3336
Hg  0.6667  0.3333  0.8365
C  0.3333  0.6667  0.0806
C  0.3333  0.6667  0.5845

Results
Total energy = -59.409 eV for the cell shown
Symmetry = No. 156